Entry from the Alexandria database: crystalline Na2Sr4P at its relaxed geometry (PBE-GGA).

Summary:
- DOS at the Fermi energy: 5.550 states/eV/cell
- Energy of formation: -0.32 eV per atom

Cell: 9.974 9.974 7.406 Å, 103.92 103.92 25.53°
Positions (direct):
Na 0.239 0.239 0.326
Na 0.761 0.761 0.674
Sr 0.124 0.124 0.826
Sr 0.438 0.438 0.726
Sr 0.562 0.562 0.274
Sr 0.876 0.876 0.174
P 0.000 0.000 0.000



Entry from the Alexandria database: crystalline Hf2Pd2Au at its relaxed geometry (PBE-GGA).

Summary:
- DOS at the Fermi energy: 9.209 states/eV/cell
- Energy of formation: -0.42 eV per atom

Cell: 7.593 7.593 3.364 Å, 90.00 90.00 90.00°
Positions (direct):
Hf 0.161 0.339 0.000
Hf 0.339 0.839 0.000
Hf 0.661 0.161 0.000
Hf 0.839 0.661 0.000
Pd 0.132 0.632 0.500
Pd 0.368 0.132 0.500
Pd 0.632 0.868 0.500
Pd 0.868 0.368 0.500
Au 0.000 0.000 0.000
Au 0.500 0.500 0.000



Entry from the Alexandria database: crystalline CaPr2Mg at its relaxed geometry (PBE-GGA).

Summary:
- DOS at the Fermi energy: 6.058 states/eV/cell
- Energy of formation: 0.07 eV per atom

Cell: 12.066 12.066 12.066 Å, 17.54 17.54 17.54°
Positions (direct):
Ca 0.000 0.000 0.000
Pr 0.242 0.242 0.242
Pr 0.758 0.758 0.758
Mg 0.500 0.500 0.500



What did the third record say?
Entry from the Alexandria database: crystalline CaPr2Mg at its relaxed geometry (PBE-GGA).

Summary:
- DOS at the Fermi energy: 6.058 states/eV/cell
- Energy of formation: 0.07 eV per atom

Cell: 12.066 12.066 12.066 Å, 17.54 17.54 17.54°
Positions (direct):
Ca 0.000 0.000 0.000
Pr 0.242 0.242 0.242
Pr 0.758 0.758 0.758
Mg 0.500 0.500 0.500